First-principles (PBEsol) data for crystalline BeCoIN2 at its relaxed geometry, as listed in Alexandria via LeMat-Bulk.

The uncorrected formation energy comes out at 1346 meV/atom. The value obtained for the density of states at the Fermi level is 0.687 states/eV per atom. As for the density: 5.27 g/cm³.

It has space group P4/mmm (No. 123), with a = 3.472 Å, b = 3.472 Å, c = 5.822 Å, α = 90.00°, β = 90.00° and γ = 90.00°. The distinct sites, in fractional coordinates, are Be at (0.000, 0.000, 0.000), Co at (0.500, 0.500, 0.500), I at (0.000, 0.000, 0.500) and N at (0.000, 0.500, 0.000).